(1)
CsLiGe2Br6 | PBE | relaxed

The space group is C2/c (No. 15) and the conventional cell measures 12.5835, 15.1198 and 10.1610 Å, with angles of 90.00, 118.80 and 90.00 degrees. Symmetry generates all atoms from Cs at (0.0000, 0.1102, 0.2500), Li at (0.0000, 0.2114, 0.7500), Ge at (0.1420, 0.4193, 0.1690), Br at (0.1038, 0.2736, 0.0251), Br at (0.1222, 0.0991, 0.6768) and Br at (0.1520, 0.4687, 0.4925).

The uncorrected formation energy is -0.9855 eV per atom. The raw total energy is -3.189 eV/atom.

(2)
ZrTePb2Cl | PBE | relaxed

The space group is P4/mmm (No. 123) and the conventional cell measures 5.7265, 5.7265 and 4.7637 Å, with angles of 90.00, 90.00 and 90.00 degrees. Symmetry generates all atoms from Zr at (0.0000, 0.0000, 0.0000), Te at (0.5000, 0.5000, 0.0000), Pb at (0.0000, 0.5000, 0.5000) and Cl at (0.0000, 0.0000, 0.5000).

The uncorrected formation energy is 0.2479 eV per atom. The raw total energy is -3.943 eV/atom.

(3)
Cs2HfGaI6 | PBE | relaxed

The space group is Fm-3m (No. 225) and the conventional cell measures 12.2233, 12.2233 and 12.2233 Å, with angles of 90.00, 90.00 and 90.00 degrees. Symmetry generates all atoms from Cs at (0.2500, 0.2500, 0.2500), Hf at (0.0000, 0.0000, 0.0000), Ga at (0.0000, 0.0000, 0.5000) and I at (0.0000, 0.0000, 0.2372).

The uncorrected formation energy is -0.9758 eV per atom. The distance to the lowest polymorph of the same formula is 0.013 eV/atom. The raw total energy is -3.375 eV/atom.

Copy entry 2 word for word.
ZrTePb2Cl | PBE | relaxed

The space group is P4/mmm (No. 123) and the conventional cell measures 5.7265, 5.7265 and 4.7637 Å, with angles of 90.00, 90.00 and 90.00 degrees. Symmetry generates all atoms from Zr at (0.0000, 0.0000, 0.0000), Te at (0.5000, 0.5000, 0.0000), Pb at (0.0000, 0.5000, 0.5000) and Cl at (0.0000, 0.0000, 0.5000).

The uncorrected formation energy is 0.2479 eV per atom. The raw total energy is -3.943 eV/atom.

Question: The highest raw total energy belongs to which entry?
Answer: CsLiGe2Br6

Question: Number 3 is which compound?
Answer: Cs2HfGaI6

What did the second record say?
ZrTePb2Cl | PBE | relaxed

The space group is P4/mmm (No. 123) and the conventional cell measures 5.7265, 5.7265 and 4.7637 Å, with angles of 90.00, 90.00 and 90.00 degrees. Symmetry generates all atoms from Zr at (0.0000, 0.0000, 0.0000), Te at (0.5000, 0.5000, 0.0000), Pb at (0.0000, 0.5000, 0.5000) and Cl at (0.0000, 0.0000, 0.5000).

The uncorrected formation energy is 0.2479 eV per atom. The raw total energy is -3.943 eV/atom.